Tb6Pr2Hg | PBE | optimized geometry

CIF file:
```
data_Tb6Pr2Hg
_chemical_formula_sum 'Tb12 Pr4 Hg2'
_cell_length_a 9.839
_cell_length_b 10.344
_cell_length_c 5.543
_cell_angle_alpha 90.00
_cell_angle_beta 90.00
_cell_angle_gamma 90.00
_space_group_name_H-M_alt 'P n n m'
_space_group_IT_number 58
_space_group_name_Hall '-P 2 2n'
loop_
_atom_site_label
_atom_site_type_symbol
_atom_site_fract_x
_atom_site_fract_y
_atom_site_fract_z
_atom_site_occupancy
Tb1 Tb 0.017 0.184 0.000 1
Tb2 Tb 0.137 0.603 0.500 1
Tb3 Tb 0.184 0.925 0.500 1
Pr1 Pr 0.190 0.250 0.500 1
Hg1 Hg 0.000 0.500 0.000 1
```

The calculation puts the formation energy at -0.022 eV per atom. The total energy is -4.2049 eV per atom. Its crystal system is orthorhombic.


YTa3Si | PBE | optimized geometry

CIF file:
```
data_YTa3Si
_chemical_formula_sum 'Y1 Ta3 Si1'
_cell_length_a 4.901
_cell_length_b 4.901
_cell_length_c 4.901
_cell_angle_alpha 90.00
_cell_angle_beta 90.00
_cell_angle_gamma 90.00
_space_group_name_H-M_alt 'P m -3 m'
_space_group_IT_number 221
_space_group_name_Hall '-P 4 2 3'
loop_
_atom_site_label
_atom_site_type_symbol
_atom_site_fract_x
_atom_site_fract_y
_atom_site_fract_z
_atom_site_occupancy
Y1 Y 0.000 0.000 0.000 1
Ta1 Ta 0.000 0.000 0.500 1
Si1 Si 0.500 0.500 0.500 1
```

The total energy is -6.9419 eV per atom. The calculation puts the uncorrected formation energy at 12.7 eV/f.u. Its crystal system is cubic.


LaPm4Pr5 | PBE | optimized geometry

CIF file:
```
data_LaPm4Pr5
_chemical_formula_sum 'La1 Pm4 Pr5'
_cell_length_a 3.704
_cell_length_b 3.704
_cell_length_c 26.108
_cell_angle_alpha 90.00
_cell_angle_beta 90.00
_cell_angle_gamma 90.00
_space_group_name_H-M_alt 'P 4/m m m'
_space_group_IT_number 123
_space_group_name_Hall '-P 4 2'
loop_
_atom_site_label
_atom_site_type_symbol
_atom_site_fract_x
_atom_site_fract_y
_atom_site_fract_z
_atom_site_occupancy
La1 La 0.000 0.000 0.000 1
Pm1 Pm 0.000 0.000 0.201 1
Pm2 Pm 0.000 0.000 0.400 1
Pr1 Pr 0.500 0.500 0.102 1
Pr2 Pr 0.500 0.500 0.301 1
Pr3 Pr 0.500 0.500 0.500 1
```

The calculation puts the formation energy at 0.017 eV per atom. The total energy is -4.7655 eV per atom. Its crystal system is tetragonal.


TiNbFe3 | PBE | optimized geometry

CIF file:
```
data_TiNbFe3
_chemical_formula_sum 'Ti1 Nb1 Fe3'
_cell_length_a 4.202
_cell_length_b 4.202
_cell_length_c 4.202
_cell_angle_alpha 90.00
_cell_angle_beta 90.00
_cell_angle_gamma 90.00
_space_group_name_H-M_alt 'P m -3 m'
_space_group_IT_number 221
_space_group_name_Hall '-P 4 2 3'
loop_
_atom_site_label
_atom_site_type_symbol
_atom_site_fract_x
_atom_site_fract_y
_atom_site_fract_z
_atom_site_occupancy
Ti1 Ti 0.000 0.000 0.000 1
Nb1 Nb 0.500 0.500 0.500 1
Fe1 Fe 0.000 0.000 0.500 1
```

The calculation puts the formation energy at 0.962 eV per atom. The total energy is -7.7081 eV per atom. Its crystal system is cubic.